(1)
Here is Ag3Bi after structural relaxation from the Alexandria database. Energies are from PBE.

Structure (CIF):
```
data_Ag3Bi
_cell_length_a 4.382
_cell_length_b 4.382
_cell_length_c 8.814
_cell_angle_alpha 90.00
_cell_angle_beta 90.00
_cell_angle_gamma 90.00
_space_group_name_H-M_alt 'I 4/m m m'
_space_group_IT_number 139
_space_group_name_Hall '-I 4 2'
loop_
_atom_site_label
_atom_site_type_symbol
_atom_site_fract_x
_atom_site_fract_y
_atom_site_fract_z
Ag1 Ag 0.000 0.000 0.000
Ag2 Ag 0.000 0.500 0.250
Bi1 Bi 0.000 0.000 0.500
```

Properties
E_tot ... -3.036 eV/atom



(2)
Here is BaNaCa2Au after structural relaxation from the Alexandria database. Energies are from PBE.

Structure (CIF):
```
data_BaNaCa2Au
_cell_length_a 5.866
_cell_length_b 5.866
_cell_length_c 6.377
_cell_angle_alpha 90.00
_cell_angle_beta 90.00
_cell_angle_gamma 90.00
_space_group_name_H-M_alt 'P 4/m m m'
_space_group_IT_number 123
_space_group_name_Hall '-P 4 2'
loop_
_atom_site_label
_atom_site_type_symbol
_atom_site_fract_x
_atom_site_fract_y
_atom_site_fract_z
Ba1 Ba 0.000 0.000 0.000
Na1 Na 0.500 0.500 0.000
Ca1 Ca 0.000 0.500 0.500
Au1 Au 0.000 0.000 0.500
```

Properties
E_tot ... -2.411 eV/atom



(3)
Here is TiZn4Ir after structural relaxation from the Alexandria database. Energies are from PBE.

Structure (CIF):
```
data_TiZn4Ir
_cell_length_a 6.581
_cell_length_b 6.581
_cell_length_c 10.342
_cell_angle_alpha 90.00
_cell_angle_beta 90.00
_cell_angle_gamma 90.00
_space_group_name_H-M_alt 'I 4/m c m'
_space_group_IT_number 140
_space_group_name_Hall '-I 4 2c'
loop_
_atom_site_label
_atom_site_type_symbol
_atom_site_fract_x
_atom_site_fract_y
_atom_site_fract_z
Ti1 Ti 0.000 0.000 0.000
Zn1 Zn 0.250 0.250 0.128
Ir1 Ir 0.000 0.000 0.250
```

Properties
E_tot ... -3.760 eV/atom



(4)
Here is Tc2Ru2Pt2Rh after structural relaxation from the Alexandria database. Energies are from PBE.

Structure (CIF):
```
data_Tc2Ru2Pt2Rh
_cell_length_a 12.673
_cell_length_b 4.169
_cell_length_c 4.674
_cell_angle_alpha 90.00
_cell_angle_beta 110.39
_cell_angle_gamma 90.00
_space_group_name_H-M_alt 'C 1 2/m 1'
_space_group_IT_number 12
loop_
_space_group_symop_operation_xyz
'x,y,z'
'-x,-y,-z'
'-x,y,-z'
'x,-y,z'
'x+1/2,y+1/2,z'
'-x+1/2,-y+1/2,-z'
'-x+1/2,y+1/2,-z'
'x+1/2,-y+1/2,z'
loop_
_atom_site_label
_atom_site_type_symbol
_atom_site_fract_x
_atom_site_fract_y
_atom_site_fract_z
Tc1 Tc 0.183 0.000 0.390
Ru1 Ru 0.200 0.500 0.024
Pt1 Pt 0.070 0.000 0.773
Rh1 Rh 0.000 0.500 0.000
```

Properties
E_tot ... -8.028 eV/atom



| no. | E_form (eV/atom) |
| --- | --- |
| 1 | 0.0729 |
| 2 | -0.3063 |
| 3 | -0.1183 |
| 4 | 0.3606 |